# 1
The following is a DFT calculation (PBE-GGA) of a relaxed V4SiGe crystal.

ρ = 6.06 g/cm3
N(E_F) = 6.7 states/eV/cell
formation energy without anion corrections = -0.23 eV/f.u.
relative energy among the computed polymorphs = 1.060 eV/f.u.

Structure (POSCAR):
```
V4SiGe
1.0
4.217 -1.287 0.000
4.217 1.287 0.000
-3.463 0.000 7.684
V Si Ge
4 1 1
Direct
0.162 0.162 0.333 V
0.337 0.337 0.159 V
0.663 0.663 0.841 V
0.838 0.838 0.667 V
0.000 0.000 0.000 Si
0.500 0.500 0.500 Ge
```


# 2
The following is a DFT calculation (PBE-GGA) of a relaxed CoTeW2 crystal.

ρ = 14.17 g/cm3
N(E_F) = 4.0 states/eV/cell
formation energy without anion corrections = 3.19 eV/f.u.

Structure (POSCAR):
```
CoTeW2
1.0
2.628 -4.086 0.000
2.628 4.086 0.000
0.000 0.000 3.024
Co Te W
1 1 2
Direct
0.000 0.000 0.000 Co
0.500 0.500 0.000 Te
0.000 0.500 0.500 W
0.500 0.000 0.500 W
```


# 3
The following is a DFT calculation (PBE-GGA) of a relaxed Sn2Pd2Au crystal.

ρ = 11.07 g/cm3
N(E_F) = 3.4 states/eV/cell
relative energy among the computed polymorphs = 0.283 eV/f.u.

Structure (POSCAR):
```
Sn2Pd2Au
1.0
7.428 0.000 0.000
0.000 7.428 0.000
0.000 0.000 3.519
Sn Pd Au
4 4 2
Direct
0.162 0.338 0.000 Sn
0.338 0.838 0.000 Sn
0.662 0.162 0.000 Sn
0.838 0.662 0.000 Sn
0.138 0.638 0.500 Pd
0.362 0.138 0.500 Pd
0.638 0.862 0.500 Pd
0.862 0.362 0.500 Pd
0.000 0.000 0.500 Au
0.500 0.500 0.500 Au
```


Number 1: E_tot -7.79 eV/atom. Number 2: E_tot -8.24 eV/atom. Number 3: E_tot -4.67 eV/atom.